# 1
First-principles (GGA-PBE) data for crystalline AlHg at its relaxed geometry, as listed in OQMD via LeMat-Bulk.

```
2
Lattice="0.000 3.053 3.053 3.053 0.000 3.053 3.053 3.053 0.000" Properties=species:S:1:pos:R:3 pbc="T T T"
Hg 1.526 1.526 1.526
Al 0.000 0.000 0.000
```

## Properties
**Calculated total energy**: -1.58 eV/atom
**Space group**: F-43m (216)

---

# 2
First-principles (GGA-PBE) data for crystalline GdTlO3 at its relaxed geometry, as listed in OQMD via LeMat-Bulk.

```
20
Lattice="-0.348 -5.329 -1.770 4.641 -1.460 3.485 -5.314 -1.758 6.341" Properties=species:S:1:pos:R:3 pbc="T T T"
O -2.297 -2.296 4.012
O -1.798 -4.280 7.655
O -3.824 -4.969 3.879
O -1.001 -4.856 2.522
O 0.777 -4.268 0.400
O -1.565 -6.639 5.309
O 2.803 -3.579 4.177
O -0.020 -3.692 5.533
O 0.544 -1.909 2.747
O 3.054 -5.663 1.922
O 1.276 -6.252 4.044
O -4.075 -2.885 6.134
Tl 2.320 -0.730 1.742
Tl -2.831 -3.544 2.286
Tl -0.337 -1.609 4.913
Tl -0.174 -2.665 -0.885
Gd 1.125 -4.067 2.636
Gd -2.147 -4.481 5.420
Gd 0.331 -2.813 7.958
Gd -1.352 -5.735 0.097
```

## Properties
**Calculated total energy**: -6.39 eV/atom
**M_tot**: 0.016 μB/cell
**Space group**: Pnma (62)

---

# 3
First-principles (GGA-PBE) data for crystalline PmTaAsO at its relaxed geometry, as listed in OQMD via LeMat-Bulk.

```
8
Lattice="4.148 0.000 0.000 0.000 4.148 0.000 0.000 0.000 8.091" Properties=species:S:1:pos:R:3 pbc="T T T"
Ta 2.074 0.000 0.791
Ta 0.000 2.074 7.300
As 0.000 2.074 1.937
As 2.074 0.000 6.155
O 0.000 0.000 0.000
O 2.074 2.074 0.000
Pm 0.000 0.000 4.046
Pm 2.074 2.074 4.046
```

## Properties
**Calculated total energy**: -7.27 eV/atom
**ΔE to the lowest computed polymorph**: 1098 meV/atom
**M_tot**: 0.043 μB/cell
**Space group**: P4/nmm (129)

---

# 4
First-principles (GGA-PBE) data for crystalline PrDyAg2Bi4 at its relaxed geometry, as listed in OQMD via LeMat-Bulk.

```
8
Lattice="4.577 0.000 0.000 0.000 4.577 0.000 0.000 0.000 10.431" Properties=species:S:1:pos:R:3 pbc="T T T"
Bi 0.000 0.000 1.907
Bi 0.000 2.288 5.290
Bi 2.288 0.000 5.290
Bi 2.288 2.288 8.435
Ag 0.000 2.288 10.375
Ag 2.288 0.000 10.375
Dy 0.000 0.000 7.834
Pr 2.288 2.288 2.649
```

## Properties
**Calculated total energy**: -4.40 eV/atom
**M_tot**: 0.024 μB/cell
**Space group**: P4mm (99)

---

# 5
First-principles (GGA-PBE) data for crystalline Be2NbIr2 at its relaxed geometry, as listed in OQMD via LeMat-Bulk.

```
10
Lattice="6.727 0.000 0.000 0.000 6.727 0.000 0.000 0.000 2.782" Properties=species:S:1:pos:R:3 pbc="T T T"
Be 2.575 0.789 0.000
Be 4.153 5.938 0.000
Be 0.789 4.153 0.000
Be 5.938 2.575 0.000
Ir 2.190 5.554 1.391
Ir 4.537 1.173 1.391
Ir 1.173 2.190 1.391
Ir 5.554 4.537 1.391
Nb 3.364 3.364 0.000
Nb 0.000 0.000 0.000
```

## Properties
**Calculated total energy**: -7.58 eV/atom
**M_tot**: 0.005 μB/cell
**Space group**: P4/mbm (127)

---

# 6
First-principles (GGA-PBE) data for crystalline DyHo2Co8Ni at its relaxed geometry, as listed in OQMD via LeMat-Bulk.

```
12
Lattice="2.455 1.417 8.151 -2.455 1.417 8.151 0.000 -2.835 8.151" Properties=species:S:1:pos:R:3 pbc="T T T"
Ho 0.000 0.000 3.409
Ho 0.000 0.000 21.043
Dy 0.000 0.000 0.000
Co 1.230 -0.710 10.126
Co 0.000 -1.420 14.326
Co -1.230 0.710 14.326
Co 0.000 0.000 16.292
Co 1.230 0.710 14.326
Co 0.000 0.000 8.161
Co 0.000 1.420 10.126
Co -1.230 -0.710 10.126
Ni 0.000 0.000 12.226
```

## Properties
**Calculated total energy**: -6.56 eV/atom
**M_tot**: 9.144 μB/cell
**Calculated formation energy**: -0.21 eV per atom
**Space group**: R-3m (166)

---

# 7
First-principles (GGA-PBE) data for crystalline ScCdFeSi at its relaxed geometry, as listed in OQMD via LeMat-Bulk.

```
4
Lattice="0.000 3.192 3.192 3.192 0.000 3.192 3.192 3.192 0.000" Properties=species:S:1:pos:R:3 pbc="T T T"
Si 0.000 0.000 0.000
Fe 4.788 4.788 4.788
Cd 3.192 3.192 3.192
Sc 1.596 1.596 1.596
```

## Properties
**Calculated total energy**: -5.27 eV/atom
**ΔE to the lowest computed polymorph**: 0 meV/atom
**M_tot**: 1.958 μB/cell
**Space group**: F-43m (216)

---

# 8
First-principles (GGA-PBE) data for crystalline LaGdS2F2 at its relaxed geometry, as listed in OQMD via LeMat-Bulk.

```
6
Lattice="-1.582 -3.532 0.413 1.767 -1.173 -3.264 5.481 -2.023 3.694" Properties=species:S:1:pos:R:3 pbc="T T T"
F 0.922 -0.601 -1.606
F -0.752 -1.780 0.233
La 4.313 -3.910 1.420
Gd 1.267 -0.468 0.854
S 1.999 -3.056 -0.140
S 3.491 -1.288 2.353
```

## Properties
**Calculated total energy**: -6.64 eV/atom
**M_tot**: 0.001 μB/cell
**Space group**: P4mm (99)

---

# 9
First-principles (GGA-PBE) data for crystalline TbDy2O3 at its relaxed geometry, as listed in OQMD via LeMat-Bulk.

```
6
Lattice="-2.375 -2.415 -0.236 2.218 -0.046 2.570 -5.181 4.651 4.555" Properties=species:S:1:pos:R:3 pbc="T T T"
O -0.188 -0.050 2.404
O -2.591 2.325 2.277
O -5.150 2.240 4.485
Dy -2.570 -0.076 2.217
Dy -2.768 2.266 4.672
Tb 0.000 0.000 0.000
```

## Properties
**Calculated total energy**: -7.58 eV/atom
**M_tot**: 0.010 μB/cell
**Space group**: P-3m1 (164)

---

# 10
First-principles (GGA-PBE) data for crystalline Li4Mg2SnHg at its relaxed geometry, as listed in OQMD via LeMat-Bulk.

```
8
Lattice="-4.503 1.247 0.345 -1.078 -4.307 1.498 1.034 1.966 6.397" Properties=species:S:1:pos:R:3 pbc="T T T"
Mg -1.467 2.116 5.030
Mg -0.290 -1.680 2.288
Li 0.239 -0.673 5.564
Li 0.517 0.983 3.199
Li -2.790 -1.530 0.921
Li -1.996 1.109 1.754
Hg 0.000 0.000 0.000
Sn -2.274 -0.547 4.120
```

## Properties
**Calculated total energy**: -2.20 eV/atom
**Space group**: P-4m2 (115)

---

# 11
First-principles (GGA-PBE) data for crystalline TaTlCuHg at its relaxed geometry, as listed in OQMD via LeMat-Bulk.

```
4
Lattice="0.000 3.376 3.376 3.376 0.000 3.376 3.376 3.376 0.000" Properties=species:S:1:pos:R:3 pbc="T T T"
Hg 3.376 3.376 3.376
Ta 1.688 1.688 1.688
Tl 0.000 0.000 0.000
Cu 5.065 5.065 5.065
```

## Properties
**Calculated total energy**: -3.84 eV/atom
**ΔE to the lowest computed polymorph**: 0 meV/atom
**M_tot**: 0.234 μB/cell
**Space group**: F-43m (216)

---

# 12
First-principles (GGA-PBE) data for crystalline BaPr2 at its relaxed geometry, as listed in OQMD via LeMat-Bulk.

```
6
Lattice="0.000 5.116 5.116 5.116 0.000 5.116 5.116 5.116 0.000" Properties=species:S:1:pos:R:3 pbc="T T T"
Pr 3.837 3.837 6.395
Pr 3.837 6.395 3.837
Pr 6.395 6.395 6.395
Pr 6.395 3.837 3.837
Ba 0.000 0.000 0.000
Ba 2.558 2.558 2.558
```

## Properties
**Calculated total energy**: -3.59 eV/atom
**ΔE to the lowest computed polymorph**: 0 meV/atom
**M_tot**: 0.027 μB/cell
**Space group**: Fd-3m (227)

---

# 13
First-principles (GGA-PBE) data for crystalline ZnGaFeW at its relaxed geometry, as listed in OQMD via LeMat-Bulk.

```
4
Lattice="0.000 3.041 3.041 3.041 0.000 3.041 3.041 3.041 0.000" Properties=species:S:1:pos:R:3 pbc="T T T"
Ga 0.000 0.000 0.000
Zn 3.041 3.041 3.041
Fe 4.561 4.561 4.561
W 1.520 1.520 1.520
```

## Properties
**Calculated total energy**: -6.02 eV/atom
**ΔE to the lowest computed polymorph**: 113 meV/atom
**M_tot**: 2.843 μB/cell
**Space group**: F-43m (216)

---

# 14
First-principles (GGA-PBE) data for crystalline LaSm2Ni9 at its relaxed geometry, as listed in OQMD via LeMat-Bulk.

```
12
Lattice="2.506 1.447 8.194 -2.506 1.447 8.194 0.000 -2.894 8.194" Properties=species:S:1:pos:R:3 pbc="T T T"
Sm 0.000 0.000 21.155
Sm 0.000 0.000 3.427
Ni 0.000 0.000 16.404
Ni 1.253 0.724 14.364
Ni 1.253 -0.724 10.217
Ni 0.000 1.447 10.217
Ni -1.253 0.724 14.364
Ni 0.000 -1.447 14.364
Ni -1.253 -0.724 10.217
Ni 0.000 0.000 8.177
Ni 0.000 0.000 12.291
La 0.000 0.000 0.000
```

## Properties
**Calculated total energy**: -5.72 eV/atom
**M_tot**: 0.238 μB/cell
**Calculated formation energy**: -0.35 eV per atom
**Space group**: R-3m (166)

---

# 15
First-principles (GGA-PBE) data for crystalline Cu7Ag3 at its relaxed geometry, as listed in OQMD via LeMat-Bulk.

```
10
Lattice="3.815 0.000 0.000 0.000 1.894 9.480 0.000 -1.894 9.480" Properties=species:S:1:pos:R:3 pbc="T T T"
Ag 0.000 0.000 15.098
Ag 0.000 0.000 11.379
Ag 1.907 0.000 17.132
Cu 0.000 0.000 3.754
Cu 1.907 0.000 9.522
Cu 1.907 0.000 5.599
Cu 1.907 0.000 1.891
Cu 0.000 0.000 7.677
Cu 1.907 0.000 13.238
Cu 0.000 0.000 0.030
```

## Properties
**Calculated total energy**: -3.36 eV/atom
**ΔE to the lowest computed polymorph**: 42 meV/atom
**Calculated formation energy**: 0.09 eV per atom
**Space group**: Amm2 (38)

---

# 16
First-principles (GGA-PBE) data for crystalline NaHoPd6O8 at its relaxed geometry, as listed in OQMD via LeMat-Bulk.

```
16
Lattice="-5.295 -1.674 1.575 2.181 -2.412 4.770 -0.725 4.970 2.845" Properties=species:S:1:pos:R:3 pbc="T T T"
O -1.299 2.797 3.685
O 0.213 -1.042 4.686
O -0.921 0.212 2.206
O -2.541 -1.913 5.505
O -3.675 -0.659 3.025
O -0.164 1.542 6.165
O -2.918 0.672 6.984
O -4.052 1.926 4.504
Pd -2.830 0.411 1.502
Pd 0.185 1.879 2.621
Pd -2.875 -2.460 3.564
Pd 1.271 0.679 4.994
Pd -3.191 2.885 2.918
Pd -0.239 -1.627 2.780
Na -1.920 0.442 4.595
Ho 0.000 0.000 0.000
```

## Properties
**Calculated total energy**: -5.88 eV/atom
**M_tot**: 0.000 μB/cell
**Space group**: Pm-3 (200)

---

# 17
First-principles (GGA-PBE) data for crystalline Y2Sn6Pd at its relaxed geometry, as listed in OQMD via LeMat-Bulk.

```
9
Lattice="-10.854 4.425 0.223 9.801 -5.031 4.010 1.664 4.032 0.990" Properties=species:S:1:pos:R:3 pbc="T T T"
Sn -6.605 2.480 1.002
Sn -2.069 0.403 1.834
Sn -8.508 5.748 0.996
Sn 9.119 -2.321 4.227
Sn 1.015 -1.009 2.399
Sn 5.552 -3.085 3.231
Y 4.007 0.019 3.290
Y -3.396 3.408 1.933
Pd 0.000 0.000 0.000
```

## Properties
**Calculated total energy**: -5.22 eV/atom
**M_tot**: 0.003 μB/cell
**Space group**: Cmmm (65)

---

# 18
First-principles (GGA-PBE) data for crystalline BaBeCoSb at its relaxed geometry, as listed in OQMD via LeMat-Bulk.

```
4
Lattice="0.000 3.614 3.614 3.614 0.000 3.614 3.614 3.614 0.000" Properties=species:S:1:pos:R:3 pbc="T T T"
Co 0.000 0.000 0.000
Be 5.421 5.421 5.421
Sb 3.614 3.614 3.614
Ba 1.807 1.807 1.807
```

## Properties
**Calculated total energy**: -3.48 eV/atom
**ΔE to the lowest computed polymorph**: 261 meV/atom
**M_tot**: 1.727 μB/cell
**Space group**: F-43m (216)

---

# 19
First-principles (GGA-PBE) data for crystalline ZrMoP at its relaxed geometry, as listed in OQMD via LeMat-Bulk.

```
6
Lattice="-1.372 2.767 2.749 -0.078 -4.032 0.911 6.450 0.491 2.726" Properties=species:S:1:pos:R:3 pbc="T T T"
Mo 1.103 -1.643 2.205
Mo 3.896 0.869 4.181
Zr 3.225 0.246 1.363
Zr 0.000 0.000 0.000
P 4.328 -1.398 3.568
P 0.672 0.623 2.818
```

## Properties
**Calculated total energy**: -8.57 eV/atom
**ΔE to the lowest computed polymorph**: 681 meV/atom
**M_tot**: 0.012 μB/cell
**Space group**: P6_3/mmc (194)

---

# 20
First-principles (GGA-PBE) data for crystalline HoReAsO at its relaxed geometry, as listed in OQMD via LeMat-Bulk.

```
8
Lattice="4.337 0.000 0.000 0.000 4.337 0.000 0.000 0.000 6.697" Properties=species:S:1:pos:R:3 pbc="T T T"
As 0.000 2.168 1.485
As 2.168 0.000 5.212
Re 0.000 2.168 5.734
Re 2.168 0.000 0.963
Ho 0.000 0.000 3.349
Ho 2.168 2.168 3.349
O 2.168 2.168 0.000
O 0.000 0.000 0.000
```

## Properties
**Calculated total energy**: -6.60 eV/atom
**ΔE to the lowest computed polymorph**: 1668 meV/atom
**M_tot**: 0.015 μB/cell
**Space group**: P4/nmm (129)